DFT (GGA-PBE) results for B3C after structural relaxation.

Its formation energy from the elements is 37.6 kJ/mol of atoms. The size of the total moment comes out at 0.00 μB/atom. As for the total energy: -6.924 eV per atom. The value obtained for the polymorph energy (0 for the lowest one) is 0.1492 eV per atom.

It has space group Cm (No. 8), with a = 14.209 Å, b = 2.789 Å, c = 4.768 Å, α = 90.00°, β = 105.14° and γ = 90.00°. Symmetry generates all atoms from B at (0.000, 0.000, 0.000), B at (0.004, 0.500, 0.727), B at (0.077, 0.000, 0.808), B at (0.117, 0.500, 0.658), B at (0.200, 0.000, 0.984), B at (0.245, 0.500, 0.242), B at (0.265, 0.000, 0.656), B at (0.379, 0.000, 0.496), B at (0.391, 0.000, 0.874), C at (0.210, 0.500, 0.544), C at (0.366, 0.500, 0.326) and C at (0.405, 0.500, 0.069).